A plane-wave DFT calculation with PBE with a Hubbard U was carried out for a geometry-optimized PrMo2PbO8 structure.

Results
As for the total energy: -7.03 eV/atom. The density of states at the Fermi level comes out at 5.14 states/eV/cell. Its space group is P-3m1 (164).

Cell and atoms, written as POSCAR:
```
PrMo2PbO8
1.0
6.116 0.000 0.000
-3.058 5.297 0.000
0.000 0.000 7.245
Pr O Pb Mo
1 8 1 2
Cartesian
0.000 0.000 3.622 Pr
3.058 1.766 6.944 O
-1.529 4.414 5.230 O
0.000 1.766 5.230 O
0.000 3.531 0.301 O
3.058 3.531 2.015 O
1.530 0.883 2.015 O
4.587 0.883 2.015 O
1.528 4.414 5.230 O
0.000 0.000 0.000 Pb
3.058 1.766 1.461 Mo
0.000 3.531 5.784 Mo
```